# 1
Crystalline Tb7Ho4In at its relaxed geometry. Source: Alexandria, functional GGA-PBE.

Cell lengths 6.6830, 6.5069, 8.8985 Å; angles 102.79, 95.89, 81.58 degrees
Closest atoms and distances in Å follow each position.
Atoms (fractional coordinates):
Tb: 0.5000 0.0000 0.0000  2 In 3.34, 2 Ho 3.39, 2 Tb 3.60
Tb: 0.7535 0.4638 0.9541  2 Ho 3.24-3.37, 1 In 3.31, 5 Tb 3.32-3.62
Tb: 0.1075 0.1536 0.6823  1 In 3.37, 6 Tb 3.37-3.74, 3 Ho 3.50-3.53
Tb: 0.2465 0.5362 0.0459  2 Ho 3.24-3.37, 1 In 3.31, 5 Tb 3.32-3.62
Tb: 0.8925 0.8464 0.3177  1 In 3.37, 6 Tb 3.37-3.74, 3 Ho 3.50-3.53
Tb: 0.5992 0.1933 0.6099  4 Tb 3.19-3.47, 4 Ho 3.21-3.49
Tb: 0.4008 0.8067 0.3901  4 Tb 3.19-3.47, 4 Ho 3.21-3.49
In: 0.0000 0.0000 0.0000  6 Tb 3.31-3.37, 4 Ho 3.51-3.67
Ho: 0.3067 0.6306 0.7123  6 Tb 3.21-3.53, 3 Ho 3.36-3.55
Ho: 0.7988 0.6929 0.6572  3 Ho 3.36-3.55, 5 Tb 3.37-3.62, 1 In 3.51
Ho: 0.2012 0.3071 0.3428  3 Ho 3.36-3.55, 5 Tb 3.37-3.62, 1 In 3.51
Ho: 0.6933 0.3694 0.2877  6 Tb 3.21-3.53, 3 Ho 3.36-3.55

Properties
spin magnetization	0.0	μB/f.u.
energy relative to the lowest polymorph listed for this composition	0.000	eV per formula unit
energy of formation from the pure elements	-0.02	eV/atom
space group	P-1
DFT total energy	-4.474	eV per atom


# 2
Crystalline TbHo3In at its relaxed geometry. Source: Alexandria, functional GGA-PBE.

Cell lengths 4.8067, 4.7993, 12.7641 Å; angles 90.00, 79.15, 90.00 degrees
Closest atoms and distances in Å follow each position.
Atoms (fractional coordinates):
Ho: 0.8762 0.7500 0.8959  8 Ho 3.40-3.55, 2 Tb 3.42, 2 In 3.48
Ho: 0.3729 0.2500 0.9025  8 Ho 3.40-3.49, 2 Tb 3.48, 2 In 3.54
Ho: 0.2754 0.7500 0.0975  8 Ho 3.40-3.49, 2 Tb 3.48, 2 In 3.54
Ho: 0.0741 0.7500 0.5001  4 Ho 3.40, 4 In 3.42-3.43, 4 Tb 3.48-3.49
Ho: 0.5742 0.2500 0.4999  4 Ho 3.40, 4 In 3.42-3.43, 4 Tb 3.48-3.49
Ho: 0.7721 0.2500 0.1041  8 Ho 3.40-3.55, 2 Tb 3.42, 2 In 3.48
Tb: 0.1749 0.2500 0.2985  4 In 3.40, 8 Ho 3.42-3.49
Tb: 0.4734 0.7500 0.7015  4 In 3.40, 8 Ho 3.42-3.49
In: 0.9768 0.2500 0.6948  4 Tb 3.40, 8 Ho 3.42-3.54
In: 0.6716 0.7500 0.3052  4 Tb 3.40, 8 Ho 3.42-3.54

Properties
spin magnetization	0.0	μB/f.u.
energy of formation from the pure elements	-0.18	eV/atom
space group	Cmcm
DFT total energy	-4.404	eV per atom


# 3
Crystalline Tb4Ho5In at its relaxed geometry. Source: Alexandria, functional GGA-PBE.

Cell lengths 4.1061, 4.1061, 18.1247 Å; angles 90.00, 90.00, 90.00 degrees
Closest atoms and distances in Å follow each position.
Atoms (fractional coordinates):
Ho: 0.5000 0.5000 0.7046  8 Tb 3.40-3.46, 2 Ho 3.71-3.72
Ho: 0.5000 0.5000 0.2954  8 Tb 3.40-3.46, 2 Ho 3.71-3.72
Ho: 0.5000 0.5000 0.9100  1 Ho 3.26, 4 In 3.33, 4 Tb 3.50
Ho: 0.5000 0.5000 0.5000  8 Tb 3.43, 2 Ho 3.71
Ho: 0.5000 0.5000 0.0900  1 Ho 3.26, 4 In 3.33, 4 Tb 3.50
Tb: 0.0000 0.0000 0.8026  8 Ho 3.40-3.50, 1 In 3.58, 1 Tb 3.65
Tb: 0.0000 0.0000 0.1974  8 Ho 3.40-3.50, 1 In 3.58, 1 Tb 3.65
Tb: 0.0000 0.0000 0.6012  8 Ho 3.43-3.46, 2 Tb 3.65-3.67
Tb: 0.0000 0.0000 0.3988  8 Ho 3.43-3.46, 2 Tb 3.65-3.67
In: 0.0000 0.0000 0.0000  8 Ho 3.33, 2 Tb 3.58

Properties
spin magnetization	0.0	μB/f.u.
energy relative to the lowest polymorph listed for this composition	0.000	eV per formula unit
energy of formation from the pure elements	0.02	eV/atom
space group	P4/mmm
DFT total energy	-4.393	eV per atom


# 4
Crystalline Tb3HoIn3 at its relaxed geometry. Source: Alexandria, functional GGA-PBE.

Cell lengths 9.3301, 9.3301, 9.3301 Å; angles 90.00, 90.00, 90.00 degrees
Closest atoms and distances in Å follow each position.
Atoms (fractional coordinates):
Tb: 0.3249 0.8249 0.6751  6 In 3.14-3.33
Tb: 0.8255 0.3255 0.1745  6 In 3.15-3.32
Tb: 0.5719 0.0719 0.4281  6 In 3.15-3.32
Tb: 0.0719 0.4281 0.5719  6 In 3.15-3.32
Tb: 0.9281 0.9281 0.9281  6 In 3.15-3.32
Tb: 0.8249 0.6751 0.3249  6 In 3.14-3.33
Tb: 0.6745 0.6745 0.6745  6 In 3.15-3.32
Tb: 0.1745 0.8255 0.3255  6 In 3.15-3.32
Tb: 0.6751 0.3249 0.8249  6 In 3.14-3.33
Tb: 0.3255 0.1745 0.8255  6 In 3.15-3.32
Tb: 0.4281 0.5719 0.0719  6 In 3.15-3.32
Tb: 0.1751 0.1751 0.1751  6 In 3.14-3.33
Ho: 0.5766 0.9234 0.0766  6 In 3.13-3.30
Ho: 0.9234 0.0766 0.5766  6 In 3.13-3.30
Ho: 0.0766 0.5766 0.9234  6 In 3.13-3.30
Ho: 0.4234 0.4234 0.4234  6 In 3.13-3.30
In: 0.7531 0.6269 0.9991  2 Ho 3.13-3.30, 6 Tb 3.14-3.33
In: 0.7469 0.3731 0.4991  2 Ho 3.13-3.30, 6 Tb 3.14-3.33
In: 0.5009 0.2469 0.1269  2 Ho 3.13-3.30, 6 Tb 3.14-3.33
In: 0.6269 0.9991 0.7531  2 Ho 3.13-3.30, 6 Tb 3.14-3.33
In: 0.4991 0.7469 0.3731  2 Ho 3.13-3.30, 6 Tb 3.14-3.33
In: 0.2469 0.1269 0.5009  2 Ho 3.13-3.30, 6 Tb 3.14-3.33
In: 0.9991 0.7531 0.6269  2 Ho 3.13-3.30, 6 Tb 3.14-3.33
In: 0.8731 0.0009 0.2531  2 Ho 3.13-3.30, 6 Tb 3.14-3.33
In: 0.3731 0.4991 0.7469  2 Ho 3.13-3.30, 6 Tb 3.14-3.33
In: 0.1269 0.5009 0.2469  2 Ho 3.13-3.30, 6 Tb 3.14-3.33
In: 0.2531 0.8731 0.0009  2 Ho 3.13-3.30, 6 Tb 3.14-3.33
In: 0.0009 0.2531 0.8731  2 Ho 3.13-3.30, 6 Tb 3.14-3.33

Properties
spin magnetization	0.0	μB/f.u.
energy relative to the lowest polymorph listed for this composition	0.070	eV per formula unit
energy of formation from the pure elements	-0.32	eV/atom
space group	P2_13
DFT total energy	-4.128	eV per atom